12
Lattice="5.436 0.000 0.867 0.000 6.098 0.000 0.387 -3.049 5.314" Properties=species:S:1:pos:R:3 comment="UCo3Br2O6, relaxed, DFT GGA+U" magmom_total_mub_per_cell=3.0 space_group=C2/m e_tot_ev_per_atom=-6.271 pbc="T T T"
U 2.718 0.000 0.434
O 3.825 3.049 3.710
O 1.991 1.548 4.813
O 3.833 1.501 1.369
O 1.991 -1.548 4.813
O 1.998 0.000 2.471
O 3.833 4.597 1.369
Co 0.000 3.049 0.000
Co 2.912 1.525 3.091
Co 2.912 -1.525 3.091
Br 4.684 0.000 3.879
Br 1.139 3.049 2.302